[1]
# Ba2ZnSe3

A relaxed structure of Ba2ZnSe3 (GGA-PBEsol, the Alexandria database).

a = 4.3864 Å, b = 9.0661 Å, c = 17.5490 Å
α = 90.00°, β = 90.00°, γ = 90.00°
Last column: nearest neighbours and their distance in Å.
Sites, in units of the cell vectors:
Ba 0.7500 0.2506 0.9564  7 Se 3.19-3.43
Ba 0.7500 0.7506 0.5436  7 Se 3.19-3.43
Ba 0.2500 0.7494 0.0436  7 Se 3.19-3.43
Ba 0.2500 0.2494 0.4564  7 Se 3.19-3.43
Ba 0.7500 0.0828 0.2123  7 Se 3.25-3.37, 2 Zn 3.62
Ba 0.7500 0.5828 0.2877  7 Se 3.25-3.37, 2 Zn 3.62
Ba 0.2500 0.9172 0.7877  7 Se 3.25-3.37, 2 Zn 3.62
Ba 0.2500 0.4172 0.7123  7 Se 3.25-3.37, 2 Zn 3.62
Zn 0.7500 0.1369 0.6354  4 Se 2.45-2.56
Zn 0.7500 0.6369 0.8646  4 Se 2.45-2.56
Zn 0.2500 0.8631 0.3646  4 Se 2.45-2.56
Zn 0.2500 0.3631 0.1354  4 Se 2.45-2.56
Se 0.7500 0.4938 0.1014  2 Zn 2.56
Se 0.7500 0.9938 0.3986  2 Zn 2.56
Se 0.2500 0.5062 0.8986  2 Zn 2.56
Se 0.2500 0.0062 0.6014  2 Zn 2.56
Se 0.7500 0.3762 0.5708  1 Zn 2.45
Se 0.7500 0.8762 0.9292  1 Zn 2.45
Se 0.2500 0.6238 0.4292  1 Zn 2.45
Se 0.2500 0.1238 0.0708  1 Zn 2.45
Se 0.7500 0.1812 0.7737  1 Zn 2.46
Se 0.7500 0.6812 0.7263  1 Zn 2.46
Se 0.2500 0.8188 0.2263  1 Zn 2.46
Se 0.2500 0.3188 0.2737  1 Zn 2.46

## Properties
The calculation puts the volume at 697.88 Å³ per cell. The symmetry is Pnma. The uncorrected formation energy is -36.73 kcal/mol of atoms.



[2]
# ZrTlHgB2

A relaxed structure of ZrTlHgB2 (GGA-PBEsol, the Alexandria database).

a = 4.2088 Å, b = 4.2088 Å, c = 5.6100 Å
α = 90.00°, β = 90.00°, γ = 90.00°
Last column: nearest neighbours and their distance in Å.
Sites, in units of the cell vectors:
Tl 0.5000 0.5000 0.5000  4 Zr 2.98
B 0.0000 0.5000 0.0000  2 Hg 2.10
B 0.5000 0.0000 0.0000  2 Hg 2.10
Hg 0.0000 0.0000 0.0000  4 B 2.10
Zr 0.0000 0.0000 0.5000  2 Hg 2.81, 4 Tl 2.98

## Properties
The calculation puts the volume at 99.38 Å³ per cell. The symmetry is P4/mmm. The formation energy is 7.2 eV/f.u.



[3]
# Bi2PdPt

A relaxed structure of Bi2PdPt (GGA-PBEsol, the Alexandria database).

a = 4.3115 Å, b = 4.3115 Å, c = 5.5423 Å
α = 90.00°, β = 90.00°, γ = 120.00°
Last column: nearest neighbours and their distance in Å.
Sites, in units of the cell vectors:
Pt 0.0000 0.0000 0.0000  2 Pd 2.77, 6 Bi 2.84
Bi 0.6667 0.3333 0.7536  3 Pt 2.84, 3 Pd 2.86
Bi 0.3333 0.6667 0.2464  3 Pt 2.84, 3 Pd 2.86
Pd 0.0000 0.0000 0.5000  2 Pt 2.77, 6 Bi 2.86

## Properties
The calculation puts the volume at 89.22 Å³ per cell. The symmetry is P-3m1. The formation energy is -1.2 eV/f.u.



[4]
# CsC8

A relaxed structure of CsC8 (GGA-PBEsol, the Alexandria database).

a = 4.9590 Å, b = 4.9590 Å, c = 5.9459 Å
α = 90.00°, β = 90.00°, γ = 120.00°
Last column: nearest neighbours and their distance in Å.
Sites, in units of the cell vectors:
Cs 0.0000 0.0000 0.5000  12 C 3.30
C 0.6670 0.8335 0.0000  3 C 1.43
C 0.1665 0.8335 0.0000  3 C 1.43
C 0.1665 0.3330 0.0000  3 C 1.43
C 0.3330 0.1665 0.0000  3 C 1.43
C 0.8335 0.1665 0.0000  3 C 1.43
C 0.8335 0.6670 0.0000  3 C 1.43
C 0.3333 0.6667 0.0000  3 C 1.43
C 0.6667 0.3333 0.0000  3 C 1.43

## Properties
The calculation puts the volume at 126.63 Å³ per cell. The symmetry is P6/mmm. The formation energy is -0.7 eV/f.u.



[5]
# SbBr2N

A relaxed structure of SbBr2N (GGA-PBEsol, the Alexandria database).

a = 6.3079 Å, b = 6.6906 Å, c = 6.3079 Å
α = 118.12°, β = 90.00°, γ = 118.12°
Last column: nearest neighbours and their distance in Å.
Sites, in units of the cell vectors:
Sb 0.0000 0.0000 0.0000  12 Br 3.74-4.06, 4 Sb 4.02, 4 N 4.02
Sb 0.2500 0.5000 0.7500  12 Br 3.74-4.06, 4 Sb 4.02, 4 N 4.02
Br 0.6250 0.7500 0.3750  2 N 2.01
Br 0.1250 0.7500 0.3750  2 N 2.01
Br 0.6250 0.2500 0.3750  2 N 2.01
Br 0.6250 0.2500 0.8750  2 N 2.01
N 0.5000 0.0000 0.5000  4 Br 2.01
N 0.7500 0.5000 0.2500  4 Br 2.01

## Properties
The calculation puts the volume at 198.43 Å³ per cell. The symmetry is I4_1/amd. The energy relative to the lowest polymorph listed for this composition is 21.6 meV/atom. The uncorrected formation energy is 24.96 kcal/mol of atoms.



[6]
# InAgP

A relaxed structure of InAgP (GGA-PBEsol, the Alexandria database).

a = 3.9210 Å, b = 3.9210 Å, c = 4.4851 Å
α = 90.00°, β = 90.00°, γ = 120.00°
Last column: nearest neighbours and their distance in Å.
Sites, in units of the cell vectors:
Ag 0.0000 0.0000 0.0440  3 P 2.57
In 0.3333 0.6667 0.6393  3 P 2.69, 3 Ag 2.90
P 0.6667 0.3333 0.3167  3 Ag 2.57, 3 In 2.69

## Properties
The calculation puts the volume at 59.72 Å³ per cell. The symmetry is P3m1. The energy relative to the lowest polymorph listed for this composition is 0.0 meV/atom. The formation energy is 0.5 eV/f.u.



[7]
# ScTa2MnIr

A relaxed structure of ScTa2MnIr (GGA-PBEsol, the Alexandria database).

a = 4.8755 Å, b = 4.8243 Å, c = 4.8243 Å
α = 90.00°, β = 90.00°, γ = 90.00°
Last column: nearest neighbours and their distance in Å.
Sites, in units of the cell vectors:
Sc 0.5000 0.0000 0.0000  2 Ir 2.44
Ir 0.0000 0.0000 0.0000  4 Ta 2.41, 2 Sc 2.44
Mn 0.5000 0.5000 0.5000  4 Sc 3.41, 8 Ta 3.43
Ta 0.0000 0.0000 0.5000  2 Ir 2.41
Ta 0.0000 0.5000 0.0000  2 Ir 2.41

## Properties
The calculation puts the volume at 113.47 Å³ per cell. The symmetry is P4/mmm. The formation energy is 4.9 eV/f.u.



[8]
# TlHg2Au

A relaxed structure of TlHg2Au (GGA-PBEsol, the Alexandria database).

a = 3.2011 Å, b = 3.2011 Å, c = 10.1861 Å
α = 80.96°, β = 80.96°, γ = 60.00°
Last column: nearest neighbours and their distance in Å.
Sites, in units of the cell vectors:
Tl 0.5000 0.5000 0.5000  6 Tl 3.20, 6 Hg 3.32
Au 0.0000 0.0000 0.0000  6 Hg 2.92, 6 Au 3.20
Hg 0.2583 0.2583 0.2252  3 Au 2.92, 6 Hg 3.20
Hg 0.7417 0.7417 0.7748  3 Au 2.92, 6 Hg 3.20

## Properties
The calculation puts the volume at 88.89 Å³ per cell. The symmetry is R-3m. The energy relative to the lowest polymorph listed for this composition is 55.3 meV/atom. The formation energy is 0.3 eV/f.u.



[9]
# LiBiSN2

A relaxed structure of LiBiSN2 (GGA-PBEsol, the Alexandria database).

a = 4.3550 Å, b = 4.3550 Å, c = 5.3186 Å
α = 90.00°, β = 90.00°, γ = 90.00°
Last column: nearest neighbours and their distance in Å.
Sites, in units of the cell vectors:
S 0.0000 0.0000 0.5000  2 Bi 2.66
N 0.0000 0.5000 0.0000  2 Bi 2.18
N 0.5000 0.0000 0.0000  2 Bi 2.18
Bi 0.0000 0.0000 0.0000  4 N 2.18
Li 0.5000 0.5000 0.5000  4 S 3.08, 8 N 3.44

## Properties
The calculation puts the volume at 100.87 Å³ per cell. The symmetry is P4/mmm. The uncorrected formation energy is 25.87 kcal/mol of atoms.



[10]
# TlSbPb2

A relaxed structure of TlSbPb2 (GGA-PBEsol, the Alexandria database).

a = 3.4441 Å, b = 5.8910 Å, c = 6.0103 Å
α = 100.57°, β = 106.65°, γ = 90.00°
Last column: nearest neighbours and their distance in Å.
Sites, in units of the cell vectors:
Pb 0.9992 0.0065 0.9984  4 Sb 3.38-3.44, 3 Tl 3.40-3.46, 5 Pb 3.44-3.54
Pb 0.2474 0.7335 0.4948  4 Tl 3.36-3.47, 3 Sb 3.37-3.41, 5 Pb 3.44-3.54
Sb 0.5002 0.5134 0.0003  7 Pb 3.37-3.44, 3 Tl 3.44-3.57, 2 Sb 3.44
Tl 0.7532 0.2466 0.5065  7 Pb 3.36-3.47, 3 Sb 3.44-3.57, 2 Tl 3.44

## Properties
The calculation puts the volume at 114.67 Å³ per cell. The symmetry is Cm. The energy relative to the lowest polymorph listed for this composition is 22.3 meV/atom. The uncorrected formation energy is 0.83 kcal/mol of atoms.



[11]
# LaAl2Si2

A relaxed structure of LaAl2Si2 (GGA-PBEsol, the Alexandria database).

a = 4.2121 Å, b = 4.2121 Å, c = 6.9130 Å
α = 90.00°, β = 90.00°, γ = 120.00°
Last column: nearest neighbours and their distance in Å.
Sites, in units of the cell vectors:
Si 0.6667 0.3333 0.7294  4 Al 2.51-2.54
Si 0.3333 0.6667 0.2706  4 Al 2.51-2.54
Al 0.6667 0.3333 0.3625  4 Si 2.51-2.54
Al 0.3333 0.6667 0.6375  4 Si 2.51-2.54
La 0.0000 0.0000 0.0000  6 Si 3.07

## Properties
The calculation puts the volume at 106.22 Å³ per cell. The symmetry is P-3m1. The uncorrected formation energy is -9.74 kcal/mol of atoms.



[12]
# YAgO3

A relaxed structure of YAgO3 (GGA-PBEsol, the Alexandria database).

a = 3.9787 Å, b = 3.9787 Å, c = 3.9787 Å
α = 90.00°, β = 90.00°, γ = 90.00°
Last column: nearest neighbours and their distance in Å.
Sites, in units of the cell vectors:
Y 0.5000 0.5000 0.5000  12 O 2.81
O 0.0000 0.5000 0.0000  2 Ag 1.99
O 0.0000 0.0000 0.5000  2 Ag 1.99
O 0.5000 0.0000 0.0000  2 Ag 1.99
Ag 0.0000 0.0000 0.0000  6 O 1.99

## Properties
The calculation puts the volume at 62.98 Å³ per cell. The symmetry is Pm-3m. The uncorrected formation energy is -29.70 kcal/mol of atoms.